Record 1
Computed, not measured: a relaxed structure of Sm2PuGa at the PBE-GGA level of DFT.

Summary:
M_tot in μB per formula unit: 6.450
Theoretical density in g cm⁻³: 9.2
Energy relative to the lowest polymorph listed for this composition in eV per atom: 0.000
Energy relative to the elements in eV per atom: -0.17

Structure (CIF):
```
data_Sm2PuGa
_space_group_name_H-M_alt 'P 1'
_space_group_IT_number 1
_cell_length_a 3.563
_cell_length_b 3.563
_cell_length_c 8.694
_cell_angle_alpha 90.00
_cell_angle_beta 90.00
_cell_angle_gamma 90.00
loop_
_space_group_symop_operation_xyz
'x,y,z'
loop_
_atom_site_label
_atom_site_type_symbol
_atom_site_fract_x
_atom_site_fract_y
_atom_site_fract_z
Sm1 Sm 0.000 0.000 0.217
Sm2 Sm 0.000 0.000 0.783
Pu1 Pu 0.500 0.500 0.500
Ga1 Ga 0.500 0.500 0.000
```

Record 2
Computed, not measured: a relaxed structure of BeHg2Ir at the PBE-GGA level of DFT.

Summary:
M_tot in μB per formula unit: 0.000
Theoretical density in g cm⁻³: 14.9
Energy relative to the elements in eV per atom: 0.50

Structure (CIF):
```
data_BeHg2Ir
_space_group_name_H-M_alt 'P 1'
_space_group_IT_number 1
_cell_length_a 5.123
_cell_length_b 5.123
_cell_length_c 5.123
_cell_angle_alpha 134.60
_cell_angle_beta 134.60
_cell_angle_gamma 66.15
loop_
_space_group_symop_operation_xyz
'x,y,z'
loop_
_atom_site_label
_atom_site_type_symbol
_atom_site_fract_x
_atom_site_fract_y
_atom_site_fract_z
Be1 Be 0.000 0.000 0.000
Hg1 Hg 0.250 0.750 0.500
Hg2 Hg 0.750 0.250 0.500
Ir1 Ir 0.500 0.500 0.000
```